1.
Na3BeRh3O8 PBE relaxed; formation energy from raw total energies = -1196 meV per atom; symmetry = C2/m; mass density = 5.04 g/cm³
1.0
5.2266 -3.0168 0.0000
5.2266 3.0168 0.0000
-3.4849 0.0000 5.3812
Na Be Rh O
3 1 3 8
direct
0.0000 0.0000 0.0000
0.0000 0.5000 0.0000
0.5000 0.0000 0.0000
0.0000 0.0000 0.5000
0.0000 0.5000 0.5000
0.5000 0.0000 0.5000
0.5000 0.5000 0.5000
0.2180 0.2180 0.6829
0.2196 0.7451 0.6843
0.2549 0.7804 0.3157
0.2655 0.2655 0.2966
0.7345 0.7345 0.7034
0.7451 0.2196 0.6843
0.7804 0.2549 0.3157
0.7820 0.7820 0.3171

2.
AlV2C2 PBE relaxed; DFT total energy = -8.002 eV/atom; symmetry = I4/mmm; mass density = 5.05 g/cm³
1.0
-1.7124 1.7124 4.2887
1.7124 -1.7124 4.2887
1.7124 1.7124 -4.2887
Al V C
1 2 2
direct
0.0000 0.0000 0.0000
0.2500 0.7500 0.5000
0.7500 0.2500 0.5000
0.4090 0.4090 0.0000
0.5910 0.5910 0.0000

3.
CdMoPb2 PBE relaxed; DFT total energy = -4.282 eV/atom; symmetry = P4/mmm; mass density = 9.93 g/cm³
1.0
3.1022 0.0000 0.0000
0.0000 3.1022 0.0000
0.0000 0.0000 10.8203
Cd Mo Pb
1 1 2
direct
0.0000 0.0000 0.0000
0.0000 0.0000 0.5000
0.5000 0.5000 0.2971
0.5000 0.5000 0.7029

4.
CuReSi2 PBE relaxed; formation energy from raw total energies = 350 meV per atom; symmetry = P4mm; mass density = 9.27 g/cm³
1.0
2.6893 0.0000 0.0000
0.0000 2.6893 0.0000
0.0000 0.0000 7.5758
Cu Re Si
1 1 2
direct
0.0000 0.0000 0.0000
0.5000 0.5000 0.2584
0.0000 0.0000 0.5015
0.5000 0.5000 0.7708

5.
PrTmIr PBE relaxed; DFT total energy = -6.543 eV/atom; symmetry = P3m1; mass density = 8.91 g/cm³
1.0
4.1714 0.0000 0.0000
-2.0857 3.6125 0.0000
0.0000 0.0000 6.2059
Pr Tm Ir
1 1 1
direct
0.0000 0.0000 0.0000
0.6667 0.3333 0.4591
0.3333 0.6667 0.2486

6.
GaHPb2 PBE relaxed; DFT total energy = -3.071 eV/atom; symmetry = I-42d; mass density = 7.73 g/cm³
1.0
-2.7949 2.7949 6.6738
2.7949 -2.7949 6.6738
2.7949 2.7949 -6.6738
Ga H Pb
2 2 4
direct
0.0000 0.0000 0.0000
0.7500 0.2500 0.5000
0.2500 0.7500 0.5000
0.5000 0.5000 0.0000
0.2202 0.6250 0.0952
0.3750 0.4702 0.5952
0.5298 0.1250 0.9048
0.8750 0.7798 0.4048

7.
Nd3Be2InPd9 PBE relaxed; DFT total energy = -5.380 eV/atom; symmetry = P-3m1; mass density = 8.64 g/cm³
1.0
5.9517 0.0000 0.0000
-2.9758 5.1543 0.0000
0.0000 0.0000 9.5439
Nd Be In Pd
3 2 1 9
direct
0.0000 0.0000 0.0000
0.3333 0.6667 0.6932
0.6667 0.3333 0.3068
0.3333 0.6667 0.1455
0.6667 0.3333 0.8545
0.0000 0.0000 0.5000
0.0000 0.5000 0.0000
0.1620 0.3239 0.2765
0.1620 0.8380 0.2765
0.3239 0.1620 0.7235
0.5000 0.0000 0.0000
0.5000 0.5000 0.0000
0.6761 0.8380 0.2765
0.8380 0.1620 0.7235
0.8380 0.6761 0.7235

8.
Y2WAu PBE relaxed; DFT total energy = -7.089 eV/atom; symmetry = I-4m2; mass density = 10.43 g/cm³
1.0
-2.1351 2.1351 4.8754
2.1351 -2.1351 4.8754
2.1351 2.1351 -4.8754
Y W Au
2 1 1
direct
0.0000 0.0000 0.0000
0.7500 0.2500 0.5000
0.5000 0.5000 0.0000
0.2500 0.7500 0.5000

9.
NbV2BSe PBE relaxed; formation energy from raw total energies = 1185 meV per atom; symmetry = P4/mmm; mass density = 5.88 g/cm³
1.0
4.5049 0.0000 0.0000
0.0000 4.5049 0.0000
0.0000 0.0000 3.9607
Nb V B Se
1 2 1 1
direct
0.0000 0.0000 0.0000
0.0000 0.5000 0.5000
0.5000 0.0000 0.5000
0.5000 0.5000 0.0000
0.5000 0.5000 0.5000

10.
Sr2GdCu2RuO8 PBE relaxed; formation energy from raw total energies = -1868 meV per atom; symmetry = P4/mbm; mass density = 6.53 g/cm³
1.0
5.4666 0.0000 0.0000
0.0000 5.4666 0.0000
0.0000 0.0000 11.7247
Sr Gd Cu Ru O
4 2 4 2 16
direct
0.0000 0.5000 0.1905
0.0000 0.5000 0.8095
0.5000 0.0000 0.1905
0.5000 0.0000 0.8095
0.0000 0.5000 0.5000
0.5000 0.0000 0.5000
0.0000 0.0000 0.3569
0.0000 0.0000 0.6431
0.5000 0.5000 0.3569
0.5000 0.5000 0.6431
0.0000 0.0000 0.0000
0.5000 0.5000 0.0000
0.0000 0.0000 0.1671
0.0000 0.0000 0.8329
0.1817 0.3183 0.0000
0.2494 0.7494 0.3733
0.2494 0.7494 0.6267
0.2506 0.2494 0.3733
0.2506 0.2494 0.6267
0.3183 0.8183 0.0000
0.5000 0.5000 0.1671
0.5000 0.5000 0.8329
0.6817 0.1817 0.0000
0.7494 0.7506 0.3733
0.7494 0.7506 0.6267
0.7506 0.2506 0.3733
0.7506 0.2506 0.6267
0.8183 0.6817 0.0000

11.
MoHRu2 PBE relaxed; DFT total energy = -7.864 eV/atom; symmetry = P4/mmm; mass density = 10.38 g/cm³
1.0
2.7950 0.0000 0.0000
0.0000 2.7950 0.0000
0.0000 0.0000 6.1224
Mo H Ru
1 1 2
direct
0.0000 0.0000 0.0000
0.0000 0.0000 0.5000
0.5000 0.5000 0.2981
0.5000 0.5000 0.7019

12.
DyHfTc PBE relaxed; DFT total energy = -8.440 eV/atom; symmetry = P-62m; mass density = 11.13 g/cm³
1.0
7.2468 0.0000 0.0000
-3.6234 6.2759 0.0000
0.0000 0.0000 4.3190
Dy Hf Tc
3 3 3
direct
0.0000 0.4190 0.0000
0.4190 0.0000 0.0000
0.5810 0.5810 0.0000
0.0000 0.7502 0.5000
0.2498 0.2498 0.5000
0.7502 0.0000 0.5000
0.0000 0.0000 0.0000
0.3333 0.6667 0.5000
0.6667 0.3333 0.5000